# HfPt2Br | Alexandria | meta-GGA SCAN | single point on PBEsol structure
data_HfPt2Br
_chemical_formula_sum 'Hf4 Pt8 Br4'
_cell_length_a 6.5914
_cell_length_b 6.5914
_cell_length_c 6.5914
_cell_angle_alpha 90.00
_cell_angle_beta 90.00
_cell_angle_gamma 90.00
_symmetry_space_group_name_H-M 'F m -3 m'
_symmetry_Int_Tables_number 225
_symmetry_space_group_name_Hall '-F 4 2 3'
loop_
_atom_site_label
_atom_site_type_symbol
_atom_site_fract_x
_atom_site_fract_y
_atom_site_fract_z
Hf1 Hf 0.0000 0.0000 0.0000
Pt1 Pt 0.2500 0.2500 0.2500
Br1 Br 0.0000 0.0000 0.5000
# **Formation energy without anion corrections**: -45 kJ/mol of formula units
# **Total energy**: -55.75 eV/atom
# **Total magnetic moment**: 0.0000 μB/atom